(1)
BaAs3Br | PBE | optimized geometry

a b c (Å): 5.2737 5.2737 5.2737
angles (deg): 90.00 90.00 90.00
Last column: nearest neighbours and their distance in Å.
Sites, in units of the cell vectors:
As1 0.0000 0.5000 0.0000  2 Br 2.64
As2 0.0000 0.0000 0.5000  2 Br 2.64
As3 0.5000 0.0000 0.0000  2 Br 2.64
Ba1 0.5000 0.5000 0.5000  12 As 3.73
Br1 0.0000 0.0000 0.0000  6 As 2.64

**Spin magnetization**: 0.00 μB/f.u.
**Density**: 5.00 Mg/m³
**Total DFT energy (no corrections)**: -16.26 eV for the cell shown
**Volume**: 147 Å³/cell


(2)
Cs2LaSI6 | PBE | optimized geometry

a b c (Å): 9.4799 9.4799 8.8584
angles (deg): 57.65 57.65 90.00
Last column: nearest neighbours and their distance in Å.
Sites, in units of the cell vectors:
Cs1 0.7500 0.2500 0.5000  12 I 4.43-4.75
Cs2 0.2500 0.7500 0.5000  12 I 4.43-4.75
I1 0.2753 0.2753 0.4494  1 S 2.60
I2 0.7247 0.7247 0.5506  1 S 2.60
I3 0.2336 0.2336 0.0000  1 La 3.13
I4 0.7664 0.7664 0.0000  1 La 3.13
I5 0.7664 0.2336 0.0000  1 La 3.13
I6 0.2336 0.7664 0.0000  1 La 3.13
S1 0.5000 0.5000 0.0000  2 I 2.60
La1 0.0000 0.0000 0.0000  6 I 3.13-3.19

**Spin magnetization**: 1.00 μB/f.u.
**Density**: 3.82 Mg/m³
**Total DFT energy (no corrections)**: -30.30 eV for the cell shown
**Volume**: 520 Å³/cell


(3)
LaV2Os | PBE | optimized geometry

a b c (Å): 4.5477 4.5477 4.5477
angles (deg): 60.00 60.00 60.00
Last column: nearest neighbours and their distance in Å.
Sites, in units of the cell vectors:
La1 0.0000 0.0000 0.0000  8 V 2.78
Os1 0.5000 0.5000 0.5000  8 V 2.78
V1 0.2500 0.2500 0.2500  4 Os 2.78, 4 La 2.78
V2 0.7500 0.7500 0.7500  4 La 2.78, 4 Os 2.78

**Excess energy over the best structure of this formula in the dataset**: 0.000 eV/atom
**E_form**: 302 meV/atom
**Spin magnetization**: 0.00 μB/f.u.
**Density**: 10.76 Mg/m³
**Total DFT energy (no corrections)**: -33.19 eV for the cell shown
**Volume**: 67 Å³/cell


(4)
SmUN3 | PBE | optimized geometry

a b c (Å): 3.7430 7.0036 7.1029
angles (deg): 54.26 74.72 74.50
Last column: nearest neighbours and their distance in Å.
Sites, in units of the cell vectors:
Sm1 0.3737 0.7933 0.4593  4 N 2.33-2.37
Sm2 0.6263 0.2067 0.5407  4 N 2.33-2.37
U1 0.1277 0.7002 0.0444  4 N 2.05-2.22
U2 0.8723 0.2998 0.9556  4 N 2.05-2.22
N1 0.9188 0.9443 0.2180  1 U 2.05
N2 0.0812 0.0557 0.7820  1 U 2.05
N3 0.5694 0.6192 0.2420  2 U 2.19, 2 Sm 2.35-2.37
N4 0.4306 0.3808 0.7580  2 U 2.19, 2 Sm 2.35-2.37
N5 0.7542 0.6881 0.8036  1 U 2.22
N6 0.2458 0.3119 0.1964  1 U 2.22

**Spin magnetization**: 0.00 μB/f.u.
**Density**: 9.91 Mg/m³
**Total DFT energy (no corrections)**: -95.58 eV for the cell shown
**Volume**: 144 Å³/cell


(5)
Nd2Ge3Rh2 | PBE | optimized geometry

a b c (Å): 4.2746 5.6494 6.8932
angles (deg): 113.48 90.00 112.23
Last column: nearest neighbours and their distance in Å.
Sites, in units of the cell vectors:
Nd1 0.8507 0.7014 0.2260  4 Rh 2.94-3.18, 3 Ge 3.05-3.30
Nd2 0.1493 0.2986 0.7740  4 Rh 2.94-3.18, 3 Ge 3.05-3.30
Ge1 0.5000 0.0000 0.0000  4 Rh 2.65, 2 Ge 2.76
Ge2 0.6249 0.2498 0.4435  3 Rh 2.59-2.64, 1 Ge 2.76
Ge3 0.3751 0.7502 0.5565  3 Rh 2.59-2.64, 1 Ge 2.76
Rh1 0.8685 0.7370 0.7767  5 Ge 2.59-2.65
Rh2 0.1315 0.2630 0.2233  5 Ge 2.59-2.65

**Excess energy over the best structure of this formula in the dataset**: 0.104 eV/atom
**E_form**: -730 meV/atom
**Spin magnetization**: 0.00 μB/f.u.
**Density**: 8.50 Mg/m³
**Total DFT energy (no corrections)**: -43.20 eV for the cell shown
**Volume**: 139 Å³/cell


(6)
NdEuTlIr | PBE | optimized geometry

a b c (Å): 5.2457 5.2457 5.2457
angles (deg): 60.00 60.00 60.00
Last column: nearest neighbours and their distance in Å.
Sites, in units of the cell vectors:
Eu1 0.7500 0.7500 0.7500  4 Tl 3.21, 4 Ir 3.21
Tl1 0.5000 0.5000 0.5000  4 Nd 3.21, 4 Eu 3.21
Ir1 0.0000 0.0000 0.0000  4 Eu 3.21, 4 Nd 3.21
Nd1 0.2500 0.2500 0.2500  4 Tl 3.21, 4 Ir 3.21

**E_form**: -313 meV/atom
**Spin magnetization**: 6.87 μB/f.u.
**Density**: 11.27 Mg/m³
**Total DFT energy (no corrections)**: -27.52 eV for the cell shown
**Volume**: 102 Å³/cell


(7)
MgAsPBr2 | PBE | optimized geometry

a b c (Å): 4.9327 4.9327 6.0650
angles (deg): 90.00 90.00 90.00
Last column: nearest neighbours and their distance in Å.
Sites, in units of the cell vectors:
P1 0.5000 0.5000 0.5000  4 As 3.49
As1 0.0000 0.0000 0.5000  2 Mg 3.03
Mg1 0.0000 0.0000 0.0000  4 Br 2.47
Br1 0.0000 0.5000 0.0000  2 Mg 2.47
Br2 0.5000 0.0000 0.0000  2 Mg 2.47

**Excess energy over the best structure of this formula in the dataset**: 0.149 eV/atom
**Spin magnetization**: 0.05 μB/f.u.
**Density**: 3.26 Mg/m³
**Total DFT energy (no corrections)**: -13.27 eV for the cell shown
**Volume**: 148 Å³/cell


(8)
LaSi3Br | PBE | optimized geometry

a b c (Å): 4.9900 4.9900 4.9900
angles (deg): 90.00 90.00 90.00
Last column: nearest neighbours and their distance in Å.
Sites, in units of the cell vectors:
Si1 0.0000 0.5000 0.0000  2 Br 2.49
Si2 0.0000 0.0000 0.5000  2 Br 2.49
Si3 0.5000 0.0000 0.0000  2 Br 2.49
Br1 0.0000 0.0000 0.0000  6 Si 2.49
La1 0.5000 0.5000 0.5000  12 Si 3.53

**Excess energy over the best structure of this formula in the dataset**: 0.000 eV/atom
**Spin magnetization**: 0.00 μB/f.u.
**Density**: 4.05 Mg/m³
**Total DFT energy (no corrections)**: -19.67 eV for the cell shown
**Volume**: 124 Å³/cell


(9)
Ca2SiSe | PBE | optimized geometry

a b c (Å): 5.1708 5.1708 5.1708
angles (deg): 60.00 60.00 60.00
Last column: nearest neighbours and their distance in Å.
Sites, in units of the cell vectors:
Ca1 0.2500 0.2500 0.2500  4 Se 3.17, 4 Si 3.17
Ca2 0.7500 0.7500 0.7500  4 Se 3.17, 4 Si 3.17
Si1 0.0000 0.0000 0.0000  8 Ca 3.17
Se1 0.5000 0.5000 0.5000  8 Ca 3.17

**Excess energy over the best structure of this formula in the dataset**: 0.270 eV/atom
**Spin magnetization**: 0.00 μB/f.u.
**Density**: 3.18 Mg/m³
**Total DFT energy (no corrections)**: -15.66 eV for the cell shown
**Volume**: 98 Å³/cell


(10)
CaFePt4 | PBE | optimized geometry

a b c (Å): 5.3326 5.3326 5.3326
angles (deg): 60.00 60.00 60.00
Last column: nearest neighbours and their distance in Å.
Sites, in units of the cell vectors:
Ca1 0.7500 0.7500 0.7500  12 Pt 3.13, 4 Fe 3.27
Fe1 0.0000 0.0000 0.0000  12 Pt 3.13, 4 Ca 3.27
Pt1 0.8758 0.3747 0.3747  6 Pt 2.66-2.67
Pt2 0.3747 0.3747 0.8758  6 Pt 2.66-2.67
Pt3 0.3747 0.8758 0.3747  6 Pt 2.66-2.67
Pt4 0.3747 0.3747 0.3747  6 Pt 2.66-2.67

**E_form**: -328 meV/atom
**Spin magnetization**: 3.58 μB/f.u.
**Density**: 13.57 Mg/m³
**Total DFT energy (no corrections)**: -36.60 eV for the cell shown
**Volume**: 107 Å³/cell


(11)
Ce2In2Bi3 | PBE | optimized geometry

a b c (Å): 4.8323 5.4394 10.2584
angles (deg): 90.97 103.73 115.91
Last column: nearest neighbours and their distance in Å.
Sites, in units of the cell vectors:
Ce1 0.7658 0.3836 0.1504  6 Bi 3.29-3.57, 2 In 3.51-3.55
Ce2 0.2342 0.6164 0.8496  6 Bi 3.29-3.57, 2 In 3.51-3.55
In1 0.2639 0.1643 0.3711  4 Bi 3.06-3.14
In2 0.7361 0.8357 0.6289  4 Bi 3.06-3.14
Bi1 0.0000 0.0000 0.0000  6 Ce 3.29-3.55, 2 In 3.67
Bi2 0.4516 0.2177 0.6830  4 In 3.06-3.14, 2 Ce 3.38-3.40
Bi3 0.5484 0.7823 0.3170  4 In 3.06-3.14, 2 Ce 3.38-3.40

**E_form**: -296 meV/atom
**Spin magnetization**: 2.48 μB/f.u.
**Density**: 8.09 Mg/m³
**Total DFT energy (no corrections)**: -31.06 eV for the cell shown
**Volume**: 233 Å³/cell


(12)
InCoAg | PBE | optimized geometry

a b c (Å): 4.3003 4.3003 4.3003
angles (deg): 60.00 60.00 60.00
Last column: nearest neighbours and their distance in Å.
Sites, in units of the cell vectors:
Ag1 0.5000 0.5000 0.5000  4 Co 2.63
Co1 0.2500 0.2500 0.2500  4 In 2.63, 4 Ag 2.63
In1 0.0000 0.0000 0.0000  4 Co 2.63

**Excess energy over the best structure of this formula in the dataset**: 0.110 eV/atom
**E_form**: 387 meV/atom
**Spin magnetization**: 0.00 μB/f.u.
**Density**: 8.32 Mg/m³
**Total DFT energy (no corrections)**: -11.53 eV for the cell shown
**Volume**: 56 Å³/cell